[1]
Material: KIrS2
Method: DFT, PBE
State: relaxed

DFT total energy ... -21.0 eV per formula unit
SG ... R3m (160)
Formation energy from raw total energies ... -0.693 eV per atom
Total magnetization ... 0.000 μB/f.u.

a = 3.731 Å, b = 3.731 Å, c = 7.172 Å
α = 74.92°, β = 74.92°, γ = 60.00°
Positions (direct):
K: 0.498 0.498 0.507
Ir: 0.668 0.668 0.996
S: 0.055 0.055 0.835
S: 0.280 0.280 0.161

***

[2]
Material: KIrS2
Method: DFT, PBE
State: relaxed

DFT total energy ... -16.7 eV per formula unit
SG ... Fm-3m (225)
Formation energy from raw total energies ... 0.376 eV per atom
Total magnetization ... 0.000 μB/f.u.
DOS at the Fermi energy ... 2.5 states/eV/cell

a = 4.631 Å, b = 4.631 Å, c = 4.631 Å
α = 60.00°, β = 60.00°, γ = 60.00°
Positions (direct):
K: 0.000 0.000 0.000
Ir: 0.500 0.500 0.500
S: 0.250 0.250 0.250
S: 0.750 0.750 0.750

***

Q: Which of these has the highest DFT total energy?
A: number 2

***

Q: Which formula does entry 1 have?
A: KIrS2